{
  "formula": "Sm4BBr5",
  "functional": "PBE",
  "state": "optimized geometry",
  "energy_ev_per_atom": -4.8052,
  "lattice_angstrom": [[9.154, -2.004, 0.000], [9.154, 2.004, 0.000], [-1.911, 0.000, 8.163]],
  "species": ["Sm", "Sm", "Sm", "Sm", "B", "Br", "Br", "Br", "Br", "Br"],
  "fractional_positions": [[0.001, 0.001, 0.289], [0.356, 0.356, 0.423], [0.644, 0.644, 0.577], [0.999, 0.999, 0.711], [0.500, 0.500, 0.500], [0.165, 0.165, 0.838], [0.171, 0.171, 0.333], [0.500, 0.500, 0.000], [0.829, 0.829, 0.667], [0.835, 0.835, 0.162]]
}


{
  "formula": "AlCoAgMo",
  "functional": "PBE",
  "state": "optimized geometry",
  "polymorph_energy_ev_per_atom": 0.000,
  "lattice_angstrom": [[0.000, 3.076, 3.076], [3.076, 0.000, 3.076], [3.076, 3.076, 0.000]],
  "species": ["Al", "Co", "Ag", "Mo"],
  "fractional_positions": [[0.000, 0.000, 0.000], [0.250, 0.250, 0.250], [0.750, 0.750, 0.750], [0.500, 0.500, 0.500]]
}


{
  "formula": "Mg2ZnNi",
  "functional": "PBE",
  "state": "optimized geometry",
  "energy_ev_per_atom": -2.5679,
  "lattice_angstrom": [[0.000, 3.130, 3.130], [3.130, 0.000, 3.130], [3.130, 3.130, 0.000]],
  "species": ["Mg", "Mg", "Zn", "Ni"],
  "fractional_positions": [[0.000, 0.000, 0.000], [0.250, 0.250, 0.250], [0.750, 0.750, 0.750], [0.500, 0.500, 0.500]]
}


{
  "formula": "ThCuPt",
  "functional": "PBE",
  "state": "optimized geometry",
  "ef_ev_per_fu": -1.72,
  "polymorph_energy_ev_per_atom": 0.000,
  "lattice_angstrom": [[0.000, 3.284, 3.284], [3.284, 0.000, 3.284], [3.284, 3.284, 0.000]],
  "species": ["Th", "Cu", "Pt"],
  "fractional_positions": [[0.000, 0.000, 0.000], [0.500, 0.500, 0.500], [0.750, 0.750, 0.750]]
}